Record 1
Nd4C2Br2Cl3 after structural relaxation. Source: OQMD, functional PBE-GGA.

Cell and atoms, written as POSCAR:
```
Nd4C2Br2Cl3
1.0
9.7550 -1.9517 0.0000
9.7550 1.9517 0.0000
-3.0225 0.0000 7.3039
Nd C Br Cl
4 2 2 3
direct
0.0025 0.0025 0.2910
0.3359 0.3359 0.3416
0.6641 0.6641 0.6584
0.9975 0.9975 0.7090
0.4610 0.4610 0.4615
0.5390 0.5390 0.5385
0.1638 0.1638 0.9449
0.8362 0.8362 0.0551
0.1664 0.1664 0.3960
0.5000 0.5000 0.0000
0.8336 0.8336 0.6040
```

Values from the calculation:
Its total energy is -5.71 eV/atom.

***

Record 2
Nd4C2Br3Cl2 after structural relaxation. Source: OQMD, functional PBE-GGA.

Cell and atoms, written as POSCAR:
```
Nd4C2Br3Cl2
1.0
9.7768 -1.9690 0.0000
9.7768 1.9690 0.0000
-3.1234 0.0000 7.4919
Nd C Br Cl
4 2 3 2
direct
0.0026 0.0026 0.2985
0.3361 0.3361 0.3431
0.6639 0.6639 0.6569
0.9974 0.9974 0.7015
0.4610 0.4610 0.4618
0.5390 0.5390 0.5382
0.1634 0.1634 0.9346
0.5000 0.5000 0.0000
0.8366 0.8366 0.0654
0.1666 0.1666 0.4016
0.8334 0.8334 0.5984
```

Values from the calculation:
Its total energy is -5.65 eV/atom.